# 1
Material: MnAlCrNi
Method: DFT, PBE
State: relaxed

POSCAR file:
```
MnAlCrNi
1.0
0.000 2.907 2.907
2.907 0.000 2.907
2.907 2.907 0.000
Mn Al Cr Ni
1 1 1 1
Direct
0.000 0.000 0.000
0.500 0.500 0.500
0.750 0.750 0.750
0.250 0.250 0.250
```

Calculated values
For the raw total energy, the calculation gives -7.30 eV per atom. For the formation energy from the elements, the calculation gives -0.217 eV per atom.

***

# 2
Material: NpMnAlCr
Method: DFT, PBE
State: relaxed

POSCAR file:
```
NpMnAlCr
1.0
0.000 3.081 3.081
3.081 0.000 3.081
3.081 3.081 0.000
Np Mn Al Cr
1 1 1 1
Direct
0.000 0.000 0.000
0.250 0.250 0.250
0.500 0.500 0.500
0.750 0.750 0.750
```

Calculated values
For the raw total energy, the calculation gives -8.75 eV per atom. For the formation energy from the elements, the calculation gives 0.121 eV per atom.